[1]
Below is a geometry-optimized Ta2BeCl structure, with properties calculated at the PBE level.

Output
Energy above the most stable polymorph in this dataset, kJ/mol of atoms: 18.13
E_form (uncorrected), eV/atom: 0.289
SG: P4mm (99)

a = 3.275 Å, b = 3.275 Å, c = 6.496 Å
α = 90.00°, β = 90.00°, γ = 90.00°
Positions (direct):
1 Be 0.000 0.000 0.424
2 Ta 0.500 0.500 0.291
3 Cl 0.500 0.500 0.743
4 Ta 0.000 0.000 0.043

***

[2]
Below is a geometry-optimized DyGaSiRh2 structure, with properties calculated at the PBE level.

Output
E_form (uncorrected), eV/atom: -0.687
SG: Cmcm (63)

a = 4.163 Å, b = 7.103 Å, c = 6.611 Å
α = 90.00°, β = 90.00°, γ = 107.04°
Positions (direct):
1 Rh 0.180 0.359 0.538
2 Rh 0.180 0.359 0.962
3 Dy 0.372 0.743 0.750
4 Si 0.300 0.600 0.250
5 Ga 0.000 0.000 0.000
6 Rh 0.820 0.641 0.038
7 Rh 0.820 0.641 0.462
8 Si 0.700 0.400 0.750
9 Dy 0.628 0.257 0.250
10 Ga 0.000 0.000 0.500

***

[3]
Below is a geometry-optimized Nb2TlCo2 structure, with properties calculated at the PBE level.

Output
Energy above the most stable polymorph in this dataset, kJ/mol of atoms: 0.00
SG: P4/mbm (127)
Calculated formation energy, eV/atom: 0.042

a = 7.164 Å, b = 7.164 Å, c = 3.082 Å
α = 90.00°, β = 90.00°, γ = 90.00°
Positions (direct):
1 Co 0.125 0.375 0.000
2 Co 0.875 0.625 0.000
3 Nb 0.334 0.166 0.500
4 Tl 0.000 0.000 0.000
5 Co 0.625 0.125 0.000
6 Tl 0.500 0.500 0.000
7 Nb 0.834 0.334 0.500
8 Nb 0.166 0.666 0.500
9 Nb 0.666 0.834 0.500
10 Co 0.375 0.875 0.000

***

[4]
Below is a geometry-optimized MnTcRh2 structure, with properties calculated at the PBE level.

Output
Energy above the most stable polymorph in this dataset, kJ/mol of atoms: 0.37
SG: I4/mmm (139)
Calculated formation energy, eV/atom: -0.096

a = 4.663 Å, b = 4.663 Å, c = 4.663 Å
α = 131.48°, β = 131.48°, γ = 71.05°
Site moments in Bohr magnetons follow the coordinates.
Positions (direct):
1 Tc 0.250 0.750 0.500  -0.74
2 Rh 0.500 0.500 0.000  -0.07
3 Rh 0.000 0.000 0.000  -0.07
4 Mn 0.750 0.250 0.500  2.99

***

Results for total magnetic moment: 0.00, 0.00, 0.00, 2.17 (in μB per formula unit, following the order of the records).